Be2PH: optimized geometry, PBE.

Values from the calculation:
* VASP energy: -4.22 eV/atom
* N(E_F): 0.00 states/eV per atom
* V: 86.7 Å³/cell

a = 6.775 Å, b = 6.775 Å, c = 3.732 Å
α = 90.00°, β = 90.00°, γ = 149.60°
Sites, in units of the cell vectors:
Be1 0.058 0.942 0.500
Be2 0.258 0.742 0.420
Be3 0.742 0.258 0.920
Be4 0.942 0.058 0.000
P1 0.347 0.653 0.915
P2 0.653 0.347 0.415
H1 0.045 0.955 0.880
H2 0.955 0.045 0.380